# 1
Crystalline ZrAs3Br at its relaxed geometry, computed with PBE.

SG	Pm-3m (221)
formation energy without anion corrections	0.200	eV/atom

Unit cell a=5.2137 b=5.2137 c=5.2137 alpha=90.00 beta=90.00 gamma=90.00
Last column: nearest neighbours and their distance in Å.
Atoms (fractional coordinates):
Zr (0.0000, 0.0000, 0.0000)  6 As 2.61
As (0.0000, 0.5000, 0.0000)  2 Zr 2.61
As (0.5000, 0.0000, 0.0000)  2 Zr 2.61
As (0.0000, 0.0000, 0.5000)  2 Zr 2.61
Br (0.5000, 0.5000, 0.5000)  12 As 3.69

# 2
Crystalline LiMg2Ir at its relaxed geometry, computed with PBE.

SG	Cmm2 (35)
total DFT energy (no corrections)	-3.5064	eV per atom

Unit cell a=2.8452 b=2.8452 c=9.3882 alpha=90.00 beta=90.00 gamma=114.08
Last column: nearest neighbours and their distance in Å.
Atoms (fractional coordinates):
Ir (0.0000, 0.0000, 0.5043)  2 Li 2.54, 2 Mg 2.60
Mg (0.0000, 0.0000, 0.9951)  8 Mg 2.85-3.10, 2 Li 3.02
Li (0.5000, 0.5000, 0.7189)  2 Ir 2.54
Mg (0.5000, 0.5000, 0.2817)  2 Ir 2.60, 4 Mg 2.85